Model 1:
As3WS, optimized geometry, DFT GGA-PBE; space-group type = Pm-3m (221); DOS at the Fermi energy = 3.1 states/eV per cell; total moment = 0.000 μB/f.u.; ρ = 6.4 Mg/m³
1.0
-2.0752 -0.2867 -4.3784
3.8861 -2.3690 -1.6867
-2.0374 -4.2266 1.2424
As S W
3 1 1
Cartesian
-1.0187 -2.1133 0.6212
1.9430 -1.1845 -0.8434
-1.0376 -0.1434 -2.1892
-0.1132 -3.4412 -2.4113
0.0000 0.0000 0.0000

=====

Model 2:
As3WS, optimized geometry, DFT GGA-PBE; space-group type = Pm-3m (221); DOS at the Fermi energy = 3.0 states/eV per cell; total moment = 2.325 μB/f.u.; ρ = 7.3 Mg/m³
1.0
4.6506 0.0000 0.0000
0.0000 4.6506 0.0000
0.0000 0.0000 4.6506
S W As
1 1 3
Cartesian
0.0000 0.0000 0.0000
2.3253 2.3253 2.3253
2.3253 0.0000 0.0000
0.0000 2.3253 0.0000
0.0000 0.0000 2.3253

=====

Most stable: model 1 (next structure +0.675 eV/atom)

=====

Model 1:
AsW2S, optimized geometry, DFT GGA-PBE; space-group type = Fm-3m (225); DOS at the Fermi energy = 4.4 states/eV per cell; total moment = 0.000 μB/f.u.; ρ = 13.5 Mg/m³
1.0
0.5976 0.2082 4.3135
-3.0599 1.7853 2.5409
-2.3718 -2.5182 2.6533
W S As
2 1 1
Cartesian
-3.6256 -0.3935 7.1308
-1.2085 -0.1312 2.3769
0.0000 0.0000 0.0000
-2.4170 -0.2624 4.7539

=====

Model 2:
AsW2S, optimized geometry, DFT GGA-PBE; space-group type = I-42d (122); DOS at the Fermi energy = 6.4 states/eV per cell; total moment = 0.000 μB/f.u.; ρ = 10.7 Mg/m³
1.0
4.4225 0.0000 0.0000
0.0000 4.4225 0.0000
2.2112 2.2112 7.5066
W S As
4 2 2
Cartesian
3.1105 1.1056 1.8767
5.5281 5.3217 5.6300
1.3120 3.3169 1.8767
3.3169 3.5232 5.6300
2.2112 4.4225 3.7533
2.2112 2.2112 0.0000
0.0000 0.0000 0.0000
4.4225 2.2112 3.7533

=====

Most stable: model 1 (next structure +0.187 eV/atom)

=====

Model 1:
As2W2S, optimized geometry, DFT GGA-PBE; space-group type = P4/mbm (127); DOS at the Fermi energy = 9.1 states/eV per cell; total moment = 0.000 μB/f.u.; ρ = 11.0 Mg/m³
1.0
7.3679 0.0000 0.0000
0.0000 7.3679 0.0000
0.0000 0.0000 3.0691
W As S
4 4 2
Cartesian
1.1126 4.7965 1.5346
6.2554 2.5714 1.5346
4.7965 6.2554 1.5346
2.5714 1.1126 1.5346
4.7181 1.0341 0.0000
6.3338 4.7181 0.0000
1.0341 2.6498 0.0000
2.6498 6.3338 0.0000
3.6840 3.6840 0.0000
0.0000 0.0000 0.0000

=====

Model 2:
As2W2S, optimized geometry, DFT GGA-PBE; space-group type = I4/mmm (139); DOS at the Fermi energy = 5.3 states/eV per cell; total moment = 0.000 μB/f.u.; ρ = 9.9 Mg/m³
1.0
4.4562 0.0000 0.0000
0.0000 4.4562 0.0000
2.2281 2.2281 4.6479
As W S
2 2 1
Cartesian
4.4562 4.4562 3.4466
2.2281 2.2281 1.2013
2.2281 4.4562 2.3240
4.4562 2.2281 2.3240
0.0000 0.0000 0.0000

=====

Most stable: model 2 (next structure +0.101 eV/atom)